No. 1
# Ti5NbOs6

Ti5NbOs6 after structural relaxation (PBE, Alexandria).

Cell lengths 4.4029, 6.2180, 7.6144 Å; angles 114.10, 106.81, 90.00 degrees
Sites, in units of the cell vectors:
Os 0.8323 0.0841 0.6646
Os 0.1677 0.4195 0.3354
Os 0.5000 0.2536 0.0000
Os 0.5000 0.7464 0.0000
Os 0.8323 0.5805 0.6646
Os 0.1677 0.9159 0.3354
Ti 0.6677 0.1677 0.3355
Ti 0.3328 0.3328 0.6655
Ti 0.6672 0.6672 0.3345
Ti 0.3323 0.8323 0.6645
Ti 0.0000 0.5000 0.0000
Nb 0.0000 0.0000 0.0000

Calculated values
* DOS at the Fermi energy: 2.3 states/eV per cell
* density: 13.557 g/cm3
* energy of formation: -7.5 eV/f.u.
* energy: -124.388 eV for the cell shown
* space group: No. 71



No. 2
# TiNbOs2

TiNbOs2 after structural relaxation (PBE, Alexandria).

Cell lengths 5.7475, 5.7475, 6.9675 Å; angles 65.64, 65.64, 90.00 degrees
Sites, in units of the cell vectors:
Ti 0.2500 0.7500 0.5000
Ti 0.5000 0.5000 0.0000
Os 0.1331 0.6250 0.2500
Os 0.8750 0.8669 0.7500
Os 0.3750 0.3831 0.7500
Os 0.6169 0.1250 0.2500
Nb 0.0000 0.0000 0.0000
Nb 0.7500 0.2500 0.5000

Calculated values
* DOS at the Fermi energy: 14.1 states/eV per cell
* density: 9.259 g/cm3
* energy of formation: 5.2 eV/f.u.
* energy: -70.449 eV for the cell shown
* space group: No. 122



No. 3
# TiNb6Os

TiNb6Os after structural relaxation (PBE, Alexandria).

Cell lengths 4.6662, 5.6073, 5.6073 Å; angles 108.48, 90.00, 90.00 degrees
Sites, in units of the cell vectors:
Nb 0.0000 0.8705 0.1295
Nb 0.0000 0.8821 0.6321
Nb 0.5000 0.6250 0.8750
Nb 0.0000 0.3679 0.1179
Nb 0.0000 0.3795 0.6205
Nb 0.5000 0.1250 0.3750
Os 0.5000 0.1250 0.8750
Ti 0.5000 0.6250 0.3750

Calculated values
* DOS at the Fermi energy: 9.3 states/eV per cell
* density: 9.493 g/cm3
* energy of formation: -1.1 eV/f.u.
* energy: -80.625 eV for the cell shown
* space group: No. 65



No. 4
# Ti2Nb4Os

Ti2Nb4Os after structural relaxation (PBE, Alexandria).

Cell lengths 2.8105, 7.3287, 6.9511 Å; angles 64.50, 81.29, 101.47 degrees
Sites, in units of the cell vectors:
Os 0.0000 0.0000 0.0000
Nb 0.9713 0.7242 0.4233
Nb 0.3824 0.4329 0.8551
Nb 0.0287 0.2758 0.5767
Nb 0.6176 0.5671 0.1449
Ti 0.3313 0.8599 0.7294
Ti 0.6687 0.1401 0.2706

Calculated values
* DOS at the Fermi energy: 8.2 states/eV per cell
* density: 8.949 g/cm3
* energy of formation: 0.0 eV/f.u.
* energy: -67.270 eV for the cell shown
* space group: No. 2



No. 5
# TiNbOs2

TiNbOs2 after structural relaxation (PBE, Alexandria).

Cell lengths 3.1268, 4.4626, 4.4626 Å; angles 90.00, 90.00, 90.00 degrees
Sites, in units of the cell vectors:
Os 0.0000 0.5000 0.0000
Os 0.0000 0.0000 0.5000
Nb 0.5000 0.5000 0.5000
Ti 0.5000 0.0000 0.0000

Calculated values
* DOS at the Fermi energy: 2.7 states/eV per cell
* density: 13.900 g/cm3
* energy of formation: -1.6 eV/f.u.
* energy: -42.023 eV for the cell shown
* space group: No. 123



No. 6
# Ti4NbOs

Ti4NbOs after structural relaxation (PBE, Alexandria).

Cell lengths 4.4655, 5.2898, 5.3413 Å; angles 63.93, 65.29, 65.03 degrees
Sites, in units of the cell vectors:
Ti 0.6827 0.4629 0.1716
Ti 0.6570 0.9954 0.6907
Ti 0.3430 0.0046 0.3093
Ti 0.3173 0.5371 0.8284
Nb 0.0000 0.5000 0.5000
Os 0.0000 0.0000 0.0000

Calculated values
* DOS at the Fermi energy: 7.4 states/eV per cell
* density: 8.004 g/cm3
* energy of formation: -1.6 eV/f.u.
* energy: -54.437 eV for the cell shown
* excess energy over the best structure of this formula in the dataset: 0 meV per atom
* space group: No. 12